# AcLa2PmHo

An optimized crystal structure of AcLa2PmHo (PBE, Alexandria).

DOS(E_F)	29.8	states/eV per cell
total magnetization	0.00	μB/f.u.
E_tot	-86.0	eV per cell

a b c (Å): 6.6297 17.6100 6.5844
angles (deg): 90.00 90.00 90.00
Space group Cmcm (No. 63)
Symmetry-distinct sites (fractional):
Ac1 0.0000 0.1585 0.2500 (multiplicity 4)
La1 0.2437 0.5000 0.0000 (multiplicity 8)
Pm1 0.0000 0.3450 0.2500 (multiplicity 4)
Ho1 0.0000 0.2591 0.7500 (multiplicity 4)


# PrHoCuRh

An optimized crystal structure of PrHoCuRh (PBE, Alexandria).

DOS(E_F)	12.9	states/eV per cell
total magnetization	0.00	μB/f.u.
E_tot	-90.7	eV per cell

a b c (Å): 7.0381 7.0381 7.0381
angles (deg): 90.00 90.00 90.00
Space group F-43m (No. 216)
Symmetry-distinct sites (fractional):
Pr1 0.0000 0.0000 0.0000 (multiplicity 4)
Ho1 0.0000 0.0000 0.5000 (multiplicity 4)
Cu1 0.2500 0.2500 0.7500 (multiplicity 4)
Rh1 0.2500 0.2500 0.2500 (multiplicity 4)


# PrGeSbRh3

An optimized crystal structure of PrGeSbRh3 (PBE, Alexandria).

DOS(E_F)	8.5	states/eV per cell
total magnetization	0.00	μB/f.u.
uncorrected formation energy	-0.574	eV/atom

a b c (Å): 5.7455 15.9127 5.7884
angles (deg): 90.00 90.00 90.00
Space group Cmcm (No. 63)
Symmetry-distinct sites (fractional):
Pr1 0.0000 0.2101 0.2500 (multiplicity 4)
Ge1 0.0000 0.4115 0.7500 (multiplicity 4)
Sb1 0.0000 0.0972 0.7500 (multiplicity 4)
Rh1 0.0000 0.2587 0.7500 (multiplicity 4)
Rh2 0.2449 0.5000 0.0000 (multiplicity 8)


# Ho3Er7Tl2

An optimized crystal structure of Ho3Er7Tl2 (PBE, Alexandria).

DOS(E_F)	11.7	states/eV per cell
total magnetization	0.00	μB/f.u.
E_tot	-50.6	eV per cell

a b c (Å): 5.5761 3.5724 18.2279
angles (deg): 90.00 93.40 90.00
Space group P2/m (No. 10)
Symmetry-distinct sites (fractional):
Ho1 0.0000 0.0000 0.0000 (multiplicity 1)
Ho2 0.2748 0.5000 0.6318 (multiplicity 2)
Er1 0.1670 0.5000 0.1476 (multiplicity 2)
Er2 0.2421 0.0000 0.4586 (multiplicity 2)
Er3 0.3311 0.0000 0.8298 (multiplicity 2)
Er4 0.5000 0.5000 0.0000 (multiplicity 1)
Tl1 0.2060 0.0000 0.2919 (multiplicity 2)


# NaHg2Rh

An optimized crystal structure of NaHg2Rh (PBE, Alexandria).

DOS(E_F)	1.9	states/eV per cell
total magnetization	0.00	μB/f.u.
E_tot	-9.3	eV per cell

a b c (Å): 4.5558 4.5558 3.6759
angles (deg): 90.00 90.00 90.00
Space group P4/mmm (No. 123)
Symmetry-distinct sites (fractional):
Na1 0.0000 0.0000 0.0000 (multiplicity 1)
Hg1 0.0000 0.5000 0.5000 (multiplicity 2)
Rh1 0.5000 0.5000 0.0000 (multiplicity 1)


# Lu2ThGa

An optimized crystal structure of Lu2ThGa (PBE, Alexandria).

DOS(E_F)	13.1	states/eV per cell
total magnetization	0.00	μB/f.u.
E_tot	-60.7	eV per cell

a b c (Å): 3.5131 3.5131 30.2713
angles (deg): 90.00 90.00 120.00
Space group R-3m (No. 166, hexagonal axes)
Symmetry-distinct sites (fractional):
Lu1 0.0000 0.0000 0.2393 (multiplicity 6)
Th1 0.0000 0.0000 0.0000 (multiplicity 3)
Ga1 0.0000 0.0000 0.5000 (multiplicity 3)


# SrZrPt

An optimized crystal structure of SrZrPt (PBE, Alexandria).

DOS(E_F)	15.1	states/eV per cell
total magnetization	0.00	μB/f.u.
E_tot	-67.3	eV per cell

a b c (Å): 6.8941 6.8941 6.8941
angles (deg): 90.00 90.00 90.00
Space group F-43m (No. 216)
Symmetry-distinct sites (fractional):
Sr1 0.0000 0.0000 0.0000 (multiplicity 4)
Zr1 0.0000 0.0000 0.5000 (multiplicity 4)
Pt1 0.2500 0.2500 0.7500 (multiplicity 4)


# CdFeAg2

An optimized crystal structure of CdFeAg2 (PBE, Alexandria).

DOS(E_F)	2.9	states/eV per cell
total magnetization	2.84	μB/f.u.
E_tot	-14.1	eV per cell

a b c (Å): 2.9298 3.8338 6.1328
angles (deg): 90.00 90.21 90.00
Space group Pm (No. 6)
Symmetry-distinct sites (fractional):
Cd1 0.0000 0.0000 0.0000 (multiplicity 1)
Fe1 0.5009 0.5000 0.7527 (multiplicity 1)
Ag1 0.0008 0.0000 0.5296 (multiplicity 1)
Ag2 0.5000 0.5000 0.2704 (multiplicity 1)


# PaH5Ru2

An optimized crystal structure of PaH5Ru2 (PBE, Alexandria).

DOS(E_F)	7.7	states/eV per cell
total magnetization	0.00	μB/f.u.
E_tot	-91.5	eV per cell

a b c (Å): 7.1833 5.5838 4.0794
angles (deg): 90.00 110.49 90.00
Space group C2 (No. 5)
Symmetry-distinct sites (fractional):
Pa1 0.0000 0.0000 0.0000 (multiplicity 2)
H1 0.0000 0.5401 0.0000 (multiplicity 2)
H2 0.1711 0.2392 0.6940 (multiplicity 4)
H3 0.1812 0.7691 0.7093 (multiplicity 4)
Ru1 0.2117 0.5049 0.4456 (multiplicity 4)


# Ga2NiGe

An optimized crystal structure of Ga2NiGe (PBE, Alexandria).

DOS(E_F)	6.5	states/eV per cell
total magnetization	0.00	μB/f.u.
E_tot	-65.2	eV per cell

a b c (Å): 4.0484 4.0484 16.4290
angles (deg): 90.00 90.00 90.00
Space group I-42d (No. 122)
Symmetry-distinct sites (fractional):
Ga1 0.2058 0.2500 0.1250 (multiplicity 8)
Ni1 0.0000 0.0000 0.0000 (multiplicity 4)
Ge1 0.0000 0.0000 0.5000 (multiplicity 4)


# Cu5Re

An optimized crystal structure of Cu5Re (PBE, Alexandria).

DOS(E_F)	10.0	states/eV per cell
total magnetization	0.00	μB/f.u.
E_tot	-63.4	eV per cell

a b c (Å): 9.8399 2.5518 6.2294
angles (deg): 90.00 104.97 90.00
Space group Cm (No. 8)
Symmetry-distinct sites (fractional):
Cu1 0.0000 0.0000 0.0000 (multiplicity 2)
Cu2 0.0549 0.0000 0.6241 (multiplicity 2)
Cu3 0.1629 0.5000 0.3384 (multiplicity 2)
Cu4 0.2197 0.5000 0.9484 (multiplicity 2)
Cu5 0.3285 0.0000 0.6753 (multiplicity 2)
Re1 0.3872 0.0000 0.2862 (multiplicity 2)


# La3Y6Er2Pu

An optimized crystal structure of La3Y6Er2Pu (PBE, Alexandria).

DOS(E_F)	44.8	states/eV per cell
total magnetization	6.73	μB/f.u.
E_tot	-152.9	eV per cell

a b c (Å): 6.2194 10.7788 11.8345
angles (deg): 90.00 100.11 90.00
Space group C2/m (No. 12)
Symmetry-distinct sites (fractional):
La1 0.0000 0.0000 0.0000 (multiplicity 2)
La2 0.0000 0.3326 0.0000 (multiplicity 4)
Y1 0.2455 0.3353 0.7422 (multiplicity 8)
Y2 0.2488 0.5000 0.2575 (multiplicity 4)
Er1 0.0000 0.1665 0.5000 (multiplicity 4)
Pu1 0.0000 0.5000 0.5000 (multiplicity 2)